An optimized crystal structure of Ca2BeAgF, computed with PBEsol.

a = 5.6876 Å, b = 5.6876 Å, c = 4.1907 Å
α = 90.00°, β = 90.00°, γ = 90.00°
Atoms (fractional coordinates):
Ca 0.0000 0.5000 0.0000
Ca 0.5000 0.0000 0.0000
Be 0.0000 0.0000 0.5000
Ag 0.5000 0.5000 0.0000
F 0.5000 0.5000 0.5000

Properties
Fermi-level density of states	0.6356	states/eV/atom
SG	P4/mmm
energy relative to the elements, uncorrected	76	meV/atom
E_tot	-2.62	eV/atom